Arrangement w

Here is an optimized crystal structure of SrReRh from the Alexandria database. Energies are from PBE.

Calculated values
Total magnetic moment, Bohr magnetons per cell: 0.00
Space-group type: P-1, No. 2

abc: 4.2869 4.2872 10.4544
angles: 90.01 101.78 119.99
Closest atoms and distances in Å follow each position.
Positions (direct):
Sr 0.0391 0.2688 0.3093  3 Rh 3.06, 1 Re 3.22
Sr 0.9609 0.7312 0.6907  3 Rh 3.06, 1 Re 3.22
Re 0.1714 0.8357 0.0072  3 Re 2.48
Re 0.8286 0.1643 0.9928  3 Re 2.48
Rh 0.4118 0.4560 0.8674  1 Rh 2.69, 6 Re 2.78-2.85
Rh 0.5882 0.5440 0.1326  1 Rh 2.69, 6 Re 2.78-2.85

Arrangement x

Here is an optimized crystal structure of SrReRh from the Alexandria database. Energies are from PBE.

Calculated values
Total magnetic moment, Bohr magnetons per cell: 0.00
Space-group type: Imm2, No. 44

abc: 2.8747 3.8961 11.3791
angles: 90.00 90.00 90.00
Closest atoms and distances in Å follow each position.
Positions (direct):
Sr 0.0000 0.0000 0.0000  2 Sr 2.87
Sr 0.5000 0.5000 0.5000  2 Sr 2.87
Re 0.0000 0.0000 0.2870  4 Rh 2.58, 2 Re 2.87
Re 0.5000 0.5000 0.7870  4 Rh 2.58, 2 Re 2.87
Rh 0.0000 0.0000 0.7096  4 Re 2.58, 2 Rh 2.87
Rh 0.5000 0.5000 0.2096  4 Re 2.58, 2 Rh 2.87

Arrangement y

Here is an optimized crystal structure of SrReRh from the Alexandria database. Energies are from PBE.

Calculated values
Total magnetic moment, Bohr magnetons per cell: 0.00
Space-group type: Pm, No. 6

abc: 5.3728 4.1895 6.2083
angles: 90.00 100.29 90.00
Closest atoms and distances in Å follow each position.
Positions (direct):
Sr 0.0000 0.0000 0.0000  4 Re 3.07-3.39, 3 Rh 3.28-3.34
Sr 0.4730 0.5000 0.8274  4 Rh 3.08-3.23, 2 Re 3.23
Re 0.1389 0.0000 0.5008  2 Re 2.52, 4 Rh 2.68-2.74
Re 0.8823 0.5000 0.3991  2 Re 2.52, 4 Rh 2.60-2.75
Rh 0.3615 0.5000 0.3224  2 Rh 2.70, 4 Re 2.70-2.75
Rh 0.6403 0.0000 0.5020  4 Re 2.60-2.69, 2 Rh 2.70

Arrangement z

Here is an optimized crystal structure of SrReRh from the Alexandria database. Energies are from PBE.

Calculated values
Total magnetic moment, Bohr magnetons per cell: 0.00
Space-group type: P3m1, No. 156

abc: 2.9924 2.9924 7.3978
angles: 90.00 90.00 120.00
Closest atoms and distances in Å follow each position.
Positions (direct):
Sr 0.0000 0.0000 0.0000  6 Sr 2.99, 3 Rh 3.19, 3 Re 3.25
Re 0.3333 0.6667 0.3715  3 Rh 2.62
Rh 0.6667 0.3333 0.6380  3 Re 2.62

Least stable: arrangement z

Arrangement w

Here is an optimized crystal structure of TaRe2Rh from the Alexandria database. Energies are from PBE.

Calculated values
Total magnetic moment, Bohr magnetons per cell: 0.00
Space-group type: Cm, No. 8

abc: 9.2167 2.7955 4.8959
angles: 90.00 99.44 90.00
Closest atoms and distances in Å follow each position.
Positions (direct):
Ta 0.0000 0.0000 0.0000  3 Rh 2.74-2.79, 2 Ta 2.80, 7 Re 2.82-2.90
Ta 0.5000 0.5000 0.0000  3 Rh 2.74-2.79, 2 Ta 2.80, 7 Re 2.82-2.90
Re 0.2427 0.0000 0.7165  5 Re 2.71-2.80, 4 Rh 2.75-2.89, 3 Ta 2.82-2.90
Re 0.4949 0.0000 0.4991  5 Re 2.71-2.80, 3 Rh 2.78-2.87, 4 Ta 2.82
Re 0.7427 0.5000 0.7165  5 Re 2.71-2.80, 4 Rh 2.75-2.89, 3 Ta 2.82-2.90
Re 0.9949 0.5000 0.4991  5 Re 2.71-2.80, 3 Rh 2.78-2.87, 4 Ta 2.82
Rh 0.2508 0.5000 0.2361  3 Ta 2.74-2.79, 7 Re 2.75-2.89, 2 Rh 2.80
Rh 0.7508 0.0000 0.2361  3 Ta 2.74-2.79, 7 Re 2.75-2.89, 2 Rh 2.80

Arrangement x

Here is an optimized crystal structure of TaRe2Rh from the Alexandria database. Energies are from PBE.

Calculated values
Total magnetic moment, Bohr magnetons per cell: 0.00
Space-group type: P4mm, No. 99

abc: 2.8061 2.8061 7.9170
angles: 90.00 90.00 90.00
Closest atoms and distances in Å follow each position.
Positions (direct):
Ta 0.0000 0.0000 0.0000  4 Ta 2.81, 4 Rh 2.86, 4 Re 2.90
Re 0.0000 0.0000 0.5002  8 Re 2.70-2.81, 4 Rh 2.75
Re 0.5000 0.5000 0.2679  8 Re 2.70-2.81, 4 Ta 2.90
Rh 0.5000 0.5000 0.7404  4 Re 2.75, 4 Rh 2.81, 4 Ta 2.86

Arrangement y

Here is an optimized crystal structure of TaRe2Rh from the Alexandria database. Energies are from PBE.

Calculated values
Total magnetic moment, Bohr magnetons per cell: 0.00
Space-group type: Pmm2, No. 25

abc: 2.8187 3.9038 5.6709
angles: 90.00 90.00 90.00
Closest atoms and distances in Å follow each position.
Positions (direct):
Ta 0.0000 0.0000 0.0000  4 Rh 2.77, 6 Re 2.79-2.88, 2 Ta 2.82
Re 0.0000 0.0000 0.4926  6 Re 2.70-2.82, 2 Ta 2.79-2.88, 4 Rh 2.84
Re 0.5000 0.5000 0.2786  6 Re 2.70-2.82, 2 Rh 2.72-2.95, 4 Ta 2.88
Rh 0.5000 0.5000 0.7586  6 Re 2.72-2.95, 4 Ta 2.77, 2 Rh 2.82

Least stable: arrangement w

Arrangement w

Here is an optimized crystal structure of TaRe2Rh from the Alexandria database. Energies are from PBE.

Calculated values
Total magnetic moment, Bohr magnetons per cell: 2.75
Space-group type: F-43m, No. 216

abc: 6.3091 6.3091 6.3091
angles: 90.00 90.00 90.00
Closest atoms and distances in Å follow each position.
Positions (direct):
Ta 0.0000 0.0000 0.0000  4 Re 2.73, 4 Rh 2.73
Ta 0.0000 0.5000 0.5000  4 Rh 2.73, 4 Re 2.73
Ta 0.5000 0.0000 0.5000  4 Rh 2.73, 4 Re 2.73
Ta 0.5000 0.5000 0.0000  4 Rh 2.73, 4 Re 2.73
Re 0.0000 0.0000 0.5000  4 Re 2.73, 4 Rh 2.73
Re 0.0000 0.5000 0.0000  4 Re 2.73, 4 Rh 2.73
Re 0.2500 0.2500 0.2500  4 Ta 2.73, 4 Re 2.73
Re 0.2500 0.7500 0.7500  4 Ta 2.73, 4 Re 2.73
Re 0.5000 0.0000 0.0000  4 Re 2.73, 4 Rh 2.73
Re 0.5000 0.5000 0.5000  4 Re 2.73, 4 Rh 2.73
Re 0.7500 0.2500 0.7500  4 Ta 2.73, 4 Re 2.73
Re 0.7500 0.7500 0.2500  4 Ta 2.73, 4 Re 2.73
Rh 0.2500 0.2500 0.7500  4 Ta 2.73, 4 Re 2.73
Rh 0.2500 0.7500 0.2500  4 Ta 2.73, 4 Re 2.73
Rh 0.7500 0.2500 0.2500  4 Ta 2.73, 4 Re 2.73
Rh 0.7500 0.7500 0.7500  4 Ta 2.73, 4 Re 2.73

Arrangement x

Here is an optimized crystal structure of TaRe2Rh from the Alexandria database. Energies are from PBE.

Calculated values
Total magnetic moment, Bohr magnetons per cell: 4.10
Space-group type: Fm-3m, No. 225

abc: 6.3118 6.3118 6.3118
angles: 90.00 90.00 90.00
Closest atoms and distances in Å follow each position.
Positions (direct):
Ta 0.0000 0.0000 0.0000  8 Re 2.73
Ta 0.0000 0.5000 0.5000  8 Re 2.73
Ta 0.5000 0.0000 0.5000  8 Re 2.73
Ta 0.5000 0.5000 0.0000  8 Re 2.73
Re 0.2500 0.2500 0.2500  4 Ta 2.73, 4 Rh 2.73
Re 0.2500 0.2500 0.7500  4 Ta 2.73, 4 Rh 2.73
Re 0.2500 0.7500 0.2500  4 Ta 2.73, 4 Rh 2.73
Re 0.2500 0.7500 0.7500  4 Ta 2.73, 4 Rh 2.73
Re 0.7500 0.2500 0.2500  4 Ta 2.73, 4 Rh 2.73
Re 0.7500 0.2500 0.7500  4 Ta 2.73, 4 Rh 2.73
Re 0.7500 0.7500 0.2500  4 Ta 2.73, 4 Rh 2.73
Re 0.7500 0.7500 0.7500  4 Rh 2.73, 4 Ta 2.73
Rh 0.0000 0.0000 0.5000  8 Re 2.73
Rh 0.0000 0.5000 0.0000  8 Re 2.73
Rh 0.5000 0.0000 0.0000  8 Re 2.73
Rh 0.5000 0.5000 0.5000  8 Re 2.73

Least stable: arrangement x

Arrangement w

Here is an optimized crystal structure of TaRe2Rh from the Alexandria database. Energies are from PBE.

Calculated values
Total magnetic moment, Bohr magnetons per cell: 0.00
Space-group type: Pmmm, No. 47

abc: 2.6948 4.0357 5.7746
angles: 90.00 90.00 90.00
Closest atoms and distances in Å follow each position.
Positions (direct):
Ta 0.0000 0.0000 0.0000  2 Ta 2.69, 2 Rh 2.89, 8 Re 2.89
Re 0.5000 0.5000 0.2717  3 Re 2.64-2.69, 4 Rh 2.76, 4 Ta 2.89
Re 0.5000 0.5000 0.7283  3 Re 2.64-2.69, 4 Rh 2.76, 4 Ta 2.89
Rh 0.0000 0.0000 0.5000  2 Rh 2.69, 8 Re 2.76, 2 Ta 2.89

Arrangement x

Here is an optimized crystal structure of TaRe2Rh from the Alexandria database. Energies are from PBE.

Calculated values
Total magnetic moment, Bohr magnetons per cell: 0.00
Space-group type: C2/m, No. 12

abc: 9.3602 2.7730 4.8466
angles: 90.00 99.34 90.00
Closest atoms and distances in Å follow each position.
Positions (direct):
Ta 0.0000 0.0000 0.0000  6 Re 2.77-2.89, 2 Ta 2.77, 4 Rh 2.79
Ta 0.5000 0.5000 0.0000  6 Re 2.77-2.89, 2 Ta 2.77, 4 Rh 2.79
Re 0.2424 0.0000 0.7408  6 Re 2.74-2.85, 3 Rh 2.75-2.84, 3 Ta 2.77-2.89
Re 0.2576 0.5000 0.2592  6 Re 2.74-2.85, 3 Rh 2.75-2.84, 3 Ta 2.77-2.89
Re 0.7424 0.5000 0.7408  6 Re 2.74-2.85, 3 Rh 2.75-2.84, 3 Ta 2.77-2.89
Re 0.7576 0.0000 0.2592  6 Re 2.74-2.85, 3 Rh 2.75-2.84, 3 Ta 2.77-2.89
Rh 0.0000 0.5000 0.5000  6 Re 2.75-2.84, 2 Rh 2.77, 4 Ta 2.79
Rh 0.5000 0.0000 0.5000  6 Re 2.75-2.84, 2 Rh 2.77, 4 Ta 2.79

Arrangement y

Here is an optimized crystal structure of TaRe2Rh from the Alexandria database. Energies are from PBE.

Calculated values
Total magnetic moment, Bohr magnetons per cell: 0.00
Space-group type: Pm, No. 6

abc: 2.7284 4.3749 5.3691
angles: 90.00 102.65 90.00
Closest atoms and distances in Å follow each position.
Positions (direct):
Ta 0.0000 0.0000 0.0000  2 Rh 2.59, 4 Re 2.70-2.76, 2 Ta 2.73
Re 0.5000 0.0000 0.4931  2 Ta 2.70-2.76, 6 Re 2.71-3.01, 4 Rh 2.93-2.94
Re 0.7852 0.5000 0.2629  2 Rh 2.63-2.91, 4 Re 2.71-2.73, 2 Ta 2.74
Rh 0.1099 0.5000 0.7612  2 Ta 2.59, 1 Re 2.63, 2 Rh 2.73

Least stable: arrangement w

Arrangement w

Here is an optimized crystal structure of Ta3ReRh from the Alexandria database. Energies are from PBE.

Calculated values
Total magnetic moment, Bohr magnetons per cell: 0.00
Space-group type: Pm-3m, No. 221

abc: 4.7088 4.7088 4.7088
angles: 90.00 90.00 90.00
Closest atoms and distances in Å follow each position.
Positions (direct):
Ta 0.0000 0.0000 0.5000  2 Rh 2.35
Ta 0.0000 0.5000 0.0000  2 Rh 2.35
Ta 0.5000 0.0000 0.0000  2 Rh 2.35
Re 0.5000 0.5000 0.5000  12 Ta 3.33
Rh 0.0000 0.0000 0.0000  6 Ta 2.35

Arrangement x

Here is an optimized crystal structure of Ta3ReRh from the Alexandria database. Energies are from PBE.

Calculated values
Total magnetic moment, Bohr magnetons per cell: 0.00
Space-group type: Pm-3m, No. 221

abc: 4.7973 4.7973 4.7973
angles: 90.00 90.00 90.00
Closest atoms and distances in Å follow each position.
Positions (direct):
Ta 0.0000 0.0000 0.5000  2 Re 2.40
Ta 0.0000 0.5000 0.0000  2 Re 2.40
Ta 0.5000 0.0000 0.0000  2 Re 2.40
Re 0.0000 0.0000 0.0000  6 Ta 2.40
Rh 0.5000 0.5000 0.5000  12 Ta 3.39

Least stable: arrangement w

Arrangement w

Here is an optimized crystal structure of ReTcRh2 from the Alexandria database. Energies are from PBE.

Calculated values
Total magnetic moment, Bohr magnetons per cell: 0.04
Space-group type: Fm-3m, No. 225

abc: 6.1859 6.1859 6.1859
angles: 90.00 90.00 90.00
Closest atoms and distances in Å follow each position.
Positions (direct):
Re 0.0000 0.0000 0.0000  8 Rh 2.68
Re 0.0000 0.5000 0.5000  8 Rh 2.68
Re 0.5000 0.0000 0.5000  8 Rh 2.68
Re 0.5000 0.5000 0.0000  8 Rh 2.68
Tc 0.0000 0.0000 0.5000  8 Rh 2.68
Tc 0.0000 0.5000 0.0000  8 Rh 2.68
Tc 0.5000 0.0000 0.0000  8 Rh 2.68
Tc 0.5000 0.5000 0.5000  8 Rh 2.68
Rh 0.2500 0.2500 0.2500  4 Re 2.68, 4 Tc 2.68
Rh 0.2500 0.2500 0.7500  4 Re 2.68, 4 Tc 2.68
Rh 0.2500 0.7500 0.2500  4 Re 2.68, 4 Tc 2.68
Rh 0.2500 0.7500 0.7500  4 Re 2.68, 4 Tc 2.68
Rh 0.7500 0.2500 0.2500  4 Re 2.68, 4 Tc 2.68
Rh 0.7500 0.2500 0.7500  4 Re 2.68, 4 Tc 2.68
Rh 0.7500 0.7500 0.2500  4 Re 2.68, 4 Tc 2.68
Rh 0.7500 0.7500 0.7500  4 Re 2.68, 4 Tc 2.68

Arrangement x

Here is an optimized crystal structure of ReTcRh2 from the Alexandria database. Energies are from PBE.

Calculated values
Total magnetic moment, Bohr magnetons per cell: 0.00
Space-group type: Cm, No. 8

abc: 9.0319 2.7004 4.7947
angles: 90.00 99.40 90.00
Closest atoms and distances in Å follow each position.
Positions (direct):
Re 0.0000 0.0000 0.0000  7 Rh 2.68-2.75, 2 Re 2.70, 3 Tc 2.75-2.77
Re 0.5000 0.5000 0.0000  7 Rh 2.68-2.75, 2 Re 2.70, 3 Tc 2.75-2.77
Tc 0.2491 0.5000 0.2633  7 Rh 2.69-2.76, 2 Tc 2.70, 3 Re 2.75-2.77
Tc 0.7491 0.0000 0.2633  7 Rh 2.69-2.76, 2 Tc 2.70, 3 Re 2.75-2.77
Rh 0.2541 0.0000 0.7658  3 Re 2.68-2.71, 5 Rh 2.70-2.82, 4 Tc 2.75-2.76
Rh 0.4958 0.0000 0.4983  3 Tc 2.69-2.71, 5 Rh 2.70-2.82, 4 Re 2.75
Rh 0.7541 0.5000 0.7658  3 Re 2.68-2.71, 5 Rh 2.70-2.82, 4 Tc 2.75-2.76
Rh 0.9958 0.5000 0.4983  3 Tc 2.69-2.71, 5 Rh 2.70-2.82, 4 Re 2.75

Arrangement y

Here is an optimized crystal structure of ReTcRh2 from the Alexandria database. Energies are from PBE.

Calculated values
Total magnetic moment, Bohr magnetons per cell: 3.86
Space-group type: I-42d, No. 122

abc: 7.0279 7.0279 5.2361
angles: 90.00 90.00 90.00
Closest atoms and distances in Å follow each position.
Positions (direct):
Re 0.0000 0.0000 0.0000  4 Rh 2.45, 2 Tc 2.62
Re 0.0000 0.5000 0.2500  4 Rh 2.45, 2 Tc 2.62
Re 0.5000 0.0000 0.7500  4 Rh 2.45, 2 Tc 2.62
Re 0.5000 0.5000 0.5000  4 Rh 2.45, 2 Tc 2.62
Tc 0.0000 0.0000 0.5000  2 Re 2.62, 4 Rh 2.70
Tc 0.0000 0.5000 0.7500  2 Re 2.62, 4 Rh 2.70
Tc 0.5000 0.0000 0.2500  2 Re 2.62, 4 Rh 2.70
Tc 0.5000 0.5000 0.0000  2 Re 2.62, 4 Rh 2.70
Rh 0.2245 0.2500 0.1250  2 Re 2.45, 2 Rh 2.64, 2 Tc 2.70
Rh 0.2500 0.7245 0.3750  2 Re 2.45, 2 Rh 2.64, 2 Tc 2.70
Rh 0.2500 0.7755 0.8750  2 Re 2.45, 2 Rh 2.64, 2 Tc 2.70
Rh 0.2755 0.2500 0.6250  2 Re 2.45, 2 Rh 2.64, 2 Tc 2.70
Rh 0.7245 0.7500 0.6250  2 Re 2.45, 2 Rh 2.64, 2 Tc 2.70
Rh 0.7500 0.2245 0.8750  2 Re 2.45, 2 Rh 2.64, 2 Tc 2.70
Rh 0.7500 0.2755 0.3750  2 Re 2.45, 2 Rh 2.64, 2 Tc 2.70
Rh 0.7755 0.7500 0.1250  2 Re 2.45, 2 Rh 2.64, 2 Tc 2.70

Least stable: arrangement y